1.
# La2SbS4 (PBE-GGA, optimized geometry)
# ΔE_f (raw) ... -1.42 eV/atom
# Volume ... 393 Å³ per cell
# DOS(E_F) ... 2.1 states/eV per cell
data_La2SbS4
_chemical_formula_sum 'La4 Sb2 S8'
_cell_length_a 13.775
_cell_length_b 4.444
_cell_length_c 7.367
_cell_angle_alpha 90.00
_cell_angle_beta 119.40
_cell_angle_gamma 90.00
_space_group_name_H-M_alt 'C 1 2/m 1'
_space_group_IT_number 12
loop_
_space_group_symop_operation_xyz
'x,y,z'
'-x,-y,-z'
'-x,y,-z'
'x,-y,z'
'x+1/2,y+1/2,z'
'-x+1/2,-y+1/2,-z'
'-x+1/2,y+1/2,-z'
'x+1/2,-y+1/2,z'
loop_
_atom_site_label
_atom_site_type_symbol
_atom_site_fract_x
_atom_site_fract_y
_atom_site_fract_z
La1 La 0.215 0.000 0.209
Sb1 Sb 0.000 0.500 0.500
S1 S 0.119 0.500 0.928
S2 S 0.140 0.000 0.512

***

2.
# Pr2SmGa3 (PBE-GGA, optimized geometry)
# DFT formation energy ... -0.550 eV/atom
# Volume ... 304 Å³ per cell
# DOS(E_F) ... 5.6 states/eV per cell
data_Pr2SmGa3
_chemical_formula_sum 'Pr4 Sm2 Ga6'
_cell_length_a 5.2289
_cell_length_b 5.2289
_cell_length_c 12.8564
_cell_angle_alpha 90.00
_cell_angle_beta 90.00
_cell_angle_gamma 120.00
_space_group_name_H-M_alt 'P -3 m 1'
_space_group_IT_number 164
_space_group_name_Hall '-P 3 2"'
loop_
_atom_site_label
_atom_site_type_symbol
_atom_site_fract_x
_atom_site_fract_y
_atom_site_fract_z
Pr1 Pr 0.0000 0.0000 0.0000
Pr2 Pr 0.0000 0.0000 0.5000
Pr3 Pr 0.3333 0.6667 0.1689
Sm1 Sm 0.3333 0.6667 0.6666
Ga1 Ga 0.0000 0.0000 0.2522
Ga2 Ga 0.3333 0.6667 0.4176
Ga3 Ga 0.3333 0.6667 0.9156

***

3.
# Hf3CuPd6 (PBE-GGA, optimized geometry)
# DFT formation energy ... -0.564 eV/atom
# Volume ... 681 Å³ per cell
# DOS(E_F) ... 19.3 states/eV per cell
data_Hf3CuPd6
_chemical_formula_sum 'Hf12 Cu4 Pd24'
_cell_length_a 9.845
_cell_length_b 14.168
_cell_length_c 4.884
_cell_angle_alpha 90.00
_cell_angle_beta 90.00
_cell_angle_gamma 90.00
_space_group_name_H-M_alt 'C m c 21'
_space_group_IT_number 36
loop_
_space_group_symop_operation_xyz
'x,y,z'
'-x,-y,z+1/2'
'-x,y,z'
'x,-y,z+1/2'
'x+1/2,y+1/2,z'
'-x+1/2,-y+1/2,z+1/2'
'-x+1/2,y+1/2,z'
'x+1/2,-y+1/2,z+1/2'
loop_
_atom_site_label
_atom_site_type_symbol
_atom_site_fract_x
_atom_site_fract_y
_atom_site_fract_z
Hf1 Hf 0.000 0.118 0.000
Hf2 Hf 0.170 0.396 0.670
Cu1 Cu 0.000 0.298 0.994
Pd1 Pd 0.000 0.233 0.498
Pd2 Pd 0.000 0.451 0.231
Pd3 Pd 0.142 0.047 0.526
Pd4 Pd 0.240 0.294 0.224

***

4.
# LiSmZr (PBE-GGA, optimized geometry)
# DFT formation energy ... 0.170 eV/atom
# Volume ... 152 Å³ per cell
# DOS(E_F) ... 5.6 states/eV per cell
data_LiSmZr
_chemical_formula_sum 'Li2 Sm2 Zr2'
_cell_length_a 3.358
_cell_length_b 3.358
_cell_length_c 13.443
_cell_angle_alpha 90.00
_cell_angle_beta 90.00
_cell_angle_gamma 90.00
_space_group_name_H-M_alt 'I 4 m m'
_space_group_IT_number 107
_space_group_name_Hall 'I 4 -2'
loop_
_atom_site_label
_atom_site_type_symbol
_atom_site_fract_x
_atom_site_fract_y
_atom_site_fract_z
Li1 Li 0.000 0.000 0.000
Sm1 Sm 0.000 0.000 0.680
Zr1 Zr 0.000 0.000 0.347

***

5.
# NaYPd4 (PBE-GGA, optimized geometry)
# DFT formation energy ... -0.554 eV/atom
# Volume ... 446 Å³ per cell
# DOS(E_F) ... 14.2 states/eV per cell
data_NaYPd4
_chemical_formula_sum 'Na4 Y4 Pd16'
_cell_length_a 7.638
_cell_length_b 7.638
_cell_length_c 7.638
_cell_angle_alpha 90.00
_cell_angle_beta 90.00
_cell_angle_gamma 90.00
_space_group_name_H-M_alt 'F -4 3 m'
_space_group_IT_number 216
_space_group_name_Hall 'F -4 2 3'
loop_
_atom_site_label
_atom_site_type_symbol
_atom_site_fract_x
_atom_site_fract_y
_atom_site_fract_z
Na1 Na 0.000 0.000 0.000
Y1 Y 0.250 0.250 0.750
Pd1 Pd 0.125 0.125 0.375

***

6.
# AcLuCdRh (PBE-GGA, optimized geometry)
# DFT formation energy ... -0.378 eV/atom
# Volume ... 409 Å³ per cell
# DOS(E_F) ... 10.4 states/eV per cell
data_AcLuCdRh
_chemical_formula_sum 'Ac4 Lu4 Cd4 Rh4'
_cell_length_a 7.425
_cell_length_b 7.425
_cell_length_c 7.425
_cell_angle_alpha 90.00
_cell_angle_beta 90.00
_cell_angle_gamma 90.00
_space_group_name_H-M_alt 'F -4 3 m'
_space_group_IT_number 216
_space_group_name_Hall 'F -4 2 3'
loop_
_atom_site_label
_atom_site_type_symbol
_atom_site_fract_x
_atom_site_fract_y
_atom_site_fract_z
Ac1 Ac 0.000 0.000 0.000
Lu1 Lu 0.000 0.000 0.500
Cd1 Cd 0.250 0.250 0.750
Rh1 Rh 0.250 0.250 0.250

***

7.
# Na3U3PbSe8 (PBE-GGA, optimized geometry)
# ΔE_f (raw) ... -1.10 eV/atom
# Volume ... 852 Å³ per cell
# DOS(E_F) ... 27.0 states/eV per cell
data_Na3U3PbSe8
_chemical_formula_sum 'Na6 U6 Pb2 Se16'
_cell_length_a 14.638
_cell_length_b 8.420
_cell_length_c 8.463
_cell_angle_alpha 90.00
_cell_angle_beta 125.20
_cell_angle_gamma 90.00
_space_group_name_H-M_alt 'C 1 2/m 1'
_space_group_IT_number 12
loop_
_space_group_symop_operation_xyz
'x,y,z'
'-x,-y,-z'
'-x,y,-z'
'x,-y,z'
'x+1/2,y+1/2,z'
'-x+1/2,-y+1/2,-z'
'-x+1/2,y+1/2,-z'
'x+1/2,-y+1/2,z'
loop_
_atom_site_label
_atom_site_type_symbol
_atom_site_fract_x
_atom_site_fract_y
_atom_site_fract_z
Na1 Na 0.000 0.000 0.000
Na2 Na 0.250 0.250 0.000
U1 U 0.000 0.500 0.500
U2 U 0.250 0.250 0.500
Pb1 Pb 0.000 0.000 0.500
Se1 Se 0.011 0.266 0.268
Se2 Se 0.245 0.500 0.733
Se3 Se 0.246 0.500 0.269

***

8.
# SiO2F (PBE-GGA, optimized geometry)
# ΔE_f (raw) ... -0.29 eV/atom
# Volume ... 126 Å³ per cell
# DOS(E_F) ... 7.9 states/eV per cell
data_SiO2F
_chemical_formula_sum 'Si4 O8 F4'
_cell_length_a 5.009
_cell_length_b 5.009
_cell_length_c 5.009
_cell_angle_alpha 90.00
_cell_angle_beta 90.00
_cell_angle_gamma 90.00
_space_group_name_H-M_alt 'F m -3 m'
_space_group_IT_number 225
_space_group_name_Hall '-F 4 2 3'
loop_
_atom_site_label
_atom_site_type_symbol
_atom_site_fract_x
_atom_site_fract_y
_atom_site_fract_z
Si1 Si 0.000 0.000 0.000
O1 O 0.250 0.250 0.250
F1 F 0.000 0.000 0.500

***

9.
# K3S2ClO8 (PBE-GGA, optimized geometry)
# ΔE_f (raw) ... -1.47 eV/atom
# Volume ... 269 Å³ per cell
# DOS(E_F) ... 13.1 states/eV per cell
data_K3S2ClO8
_chemical_formula_sum 'K3 S2 Cl1 O8'
_cell_length_a 5.7229
_cell_length_b 5.7229
_cell_length_c 9.4750
_cell_angle_alpha 90.00
_cell_angle_beta 90.00
_cell_angle_gamma 120.00
_space_group_name_H-M_alt 'P -3 m 1'
_space_group_IT_number 164
_space_group_name_Hall '-P 3 2"'
loop_
_atom_site_label
_atom_site_type_symbol
_atom_site_fract_x
_atom_site_fract_y
_atom_site_fract_z
K1 K 0.0000 0.0000 0.0000
K2 K 0.3333 0.6667 0.7043
S1 S 0.3333 0.6667 0.1667
Cl1 Cl 0.0000 0.0000 0.5000
O1 O 0.1910 0.3820 0.2169
O2 O 0.3333 0.6667 0.0089

***

10.
# Rb2PuRe3O12 (PBE-GGA, optimized geometry)
# ΔE_f (raw) ... -1.89 eV/atom
# Volume ... 878 Å³ per cell
# DOS(E_F) ... 32.4 states/eV per cell
data_Rb2PuRe3O12
_chemical_formula_sum 'Rb6 Pu3 Re9 O36'
_cell_length_a 7.3758
_cell_length_b 7.3758
_cell_length_c 18.6439
_cell_angle_alpha 90.00
_cell_angle_beta 90.00
_cell_angle_gamma 120.00
_space_group_name_H-M_alt 'R -3 m'
_space_group_IT_number 166
_space_group_name_Hall '-R 3 2"'
loop_
_atom_site_label
_atom_site_type_symbol
_atom_site_fract_x
_atom_site_fract_y
_atom_site_fract_z
Rb1 Rb 0.0000 0.0000 0.1236
Pu1 Pu 0.0000 0.0000 0.5000
Re1 Re 0.0000 0.5000 0.0000
O1 O 0.0506 0.5253 0.1011
O2 O 0.0857 0.5429 0.3454

***

11.
# BaHBr (PBE-GGA, optimized geometry)
# Final energy ... -3.633 eV/atom
# Volume ... 367 Å³ per cell
# DOS(E_F) ... 0.0 states/eV per cell
data_BaHBr
_chemical_formula_sum 'Ba4 H4 Br4'
_cell_length_a 11.718
_cell_length_b 4.526
_cell_length_c 7.074
_cell_angle_alpha 90.00
_cell_angle_beta 102.22
_cell_angle_gamma 90.00
_space_group_name_H-M_alt 'C 1 m 1'
_space_group_IT_number 8
loop_
_space_group_symop_operation_xyz
'x,y,z'
'x,-y,z'
'x+1/2,y+1/2,z'
'x+1/2,-y+1/2,z'
loop_
_atom_site_label
_atom_site_type_symbol
_atom_site_fract_x
_atom_site_fract_y
_atom_site_fract_z
Ba1 Ba 0.000 0.000 0.000
Ba2 Ba 0.175 0.500 0.472
H1 H 0.056 0.500 0.130
H2 H 0.173 0.000 0.296
Br1 Br 0.268 0.000 0.851
Br2 Br 0.459 0.500 0.507

***

12.
# ScUTl2O6 (PBE-GGA, optimized geometry)
# ΔE_f (raw) ... -2.31 eV/atom
# Volume ... 603 Å³ per cell
# DOS(E_F) ... 10.3 states/eV per cell
data_ScUTl2O6
_chemical_formula_sum 'Sc4 U4 Tl8 O24'
_cell_length_a 8.440
_cell_length_b 8.445
_cell_length_c 8.453
_cell_angle_alpha 90.00
_cell_angle_beta 90.00
_cell_angle_gamma 90.00
_space_group_name_H-M_alt 'F m m m'
_space_group_IT_number 69
_space_group_name_Hall '-F 2 2'
loop_
_atom_site_label
_atom_site_type_symbol
_atom_site_fract_x
_atom_site_fract_y
_atom_site_fract_z
Sc1 Sc 0.000 0.000 0.000
U1 U 0.000 0.000 0.500
Tl1 Tl 0.250 0.250 0.250
O1 O 0.000 0.000 0.252
O2 O 0.000 0.248 0.500
O3 O 0.248 0.000 0.500